No. 1
This record from Alexandria via LeMat-Bulk describes a relaxed TlIrPb2O6 crystal. The functional is GGA-PBE.

Summary:
Uncorrected formation energy   -0.87 eV/atom

```
20
Lattice="5.760 0.000 0.000 0.000 6.474 0.000 -5.705 0.000 8.467" Properties=species:S:1:pos:R:3 pbc="T T T"
Tl 0.000 0.000 0.000
Tl -2.852 3.237 4.233
Ir 0.028 0.000 4.233
Ir 2.880 3.237 0.000
Pb -2.858 0.137 6.106
Pb -0.005 3.100 1.872
Pb 0.060 3.374 6.594
Pb 2.913 6.337 2.361
O -1.694 0.956 4.145
O -4.546 2.281 8.378
O -3.699 4.589 7.371
O -0.846 5.123 3.138
O 0.713 0.858 2.630
O -2.139 2.379 6.863
O 2.195 4.095 1.603
O -0.658 5.616 5.837
O 0.901 1.352 5.329
O 3.754 1.886 1.095
O 4.601 4.193 0.088
O 1.749 5.518 4.322
```



No. 2
This record from Alexandria via LeMat-Bulk describes a relaxed Tm4CoGe8 crystal. The functional is GGA-PBE.

Summary:
E_form   -0.6059 eV/atom

```
13
Lattice="3.977 0.000 0.000 0.000 4.063 0.000 0.000 0.000 15.824" Properties=species:S:1:pos:R:3 pbc="T T T"
Tm 0.000 0.000 0.000
Tm 0.000 2.032 7.848
Tm 1.989 0.000 12.497
Tm 1.989 2.032 4.595
Co 0.000 2.032 11.163
Ge 0.000 0.000 5.341
Ge 0.000 0.000 10.013
Ge 0.000 2.032 2.271
Ge 0.000 2.032 13.455
Ge 1.989 0.000 2.329
Ge 1.989 0.000 7.058
Ge 1.989 2.032 10.011
Ge 1.989 2.032 15.116
```



No. 3
This record from Alexandria via LeMat-Bulk describes a relaxed Ca2OsCl crystal. The functional is GGA-PBE.

Summary:
Distance to the lowest polymorph of the same formula   281 meV/atom
Uncorrected formation energy   -0.21 eV/atom

```
4
Lattice="4.120 0.000 0.000 0.000 4.120 0.000 0.000 0.000 5.741" Properties=species:S:1:pos:R:3 pbc="T T T"
Ca 0.000 0.000 0.000
Ca 2.060 2.060 2.870
Os 0.000 0.000 2.870
Cl 2.060 2.060 0.000
```



| no. | size of the total moment (μB/atom) | VASP energy (eV per atom) |
| --- | --- | --- |
| 1 | 0.000 | -5.704 |
| 2 | 0.000 | -5.370 |
| 3 | 0.227 | -4.479 |